No. 1
Here is a geometry-optimized Pm2Pr6Th structure from Alexandria via LeMat-Bulk. Energies are from PBE.

Cell lengths 11.808, 3.522, 15.742 Å; angles 90.00, 99.64, 90.00 degrees
Space group C2/m (No. 12)
Asymmetric unit:
1 Pm 0.163 0.000 0.166
2 Pr 0.050 0.500 0.727
3 Pr 0.124 0.000 0.938
4 Pr 0.204 0.000 0.396
5 Th 0.000 0.500 0.500

Summary:
* size of the total moment: 0.00 μB per cell
* total energy: -4.880 eV per atom
* polymorph energy (0 for the lowest one): 118 meV/atom

---

No. 2
Here is a geometry-optimized BeBP structure from Alexandria via LeMat-Bulk. Energies are from PBE.

Cell lengths 3.114, 3.640, 7.063 Å; angles 88.40, 77.33, 65.40 degrees
Space group P1 (No. 1)
Asymmetric unit:
1 Be 0.000 0.000 0.000
2 Be 0.219 0.107 0.430
3 B 0.204 0.445 0.122
4 B 0.354 0.389 0.882
5 P 0.589 0.505 0.296
6 P 0.981 0.284 0.729

Summary:
* size of the total moment: 0.00 μB per cell
* total energy: -5.240 eV per atom
* polymorph energy (0 for the lowest one): 29 meV/atom

---

No. 3
Here is a geometry-optimized Cs2TiPbS4 structure from Alexandria via LeMat-Bulk. Energies are from PBE.

Cell lengths 6.908, 14.233, 25.220 Å; angles 90.00, 90.00, 90.00 degrees
Space group Fddd (No. 70, origin choice 2)
Asymmetric unit:
1 Cs 0.125 0.125 0.306
2 Ti 0.125 0.125 0.625
3 Pb 0.125 0.125 0.125
4 S 0.072 0.282 0.825

Summary:
* energy relative to the elements, uncorrected: -1090 meV/atom
* size of the total moment: 0.00 μB per cell
* total energy: -4.818 eV per atom

---

No. 4
Here is a geometry-optimized PrPt8Au3 structure from Alexandria via LeMat-Bulk. Energies are from PBE.

Cell lengths 5.3648, 5.3648, 26.5308 Å; angles 90.00, 90.00, 120.00 degrees
Space group R3m (No. 160, hexagonal axes)
Asymmetric unit:
1 Pr 0.0000 0.0000 0.0000
2 Pt 0.0000 0.0000 0.3135
3 Pt 0.0000 0.0000 0.8130
4 Pt 0.9997 0.4998 0.0639
5 Pt 0.1675 0.3350 0.8956
6 Au 0.0000 0.0000 0.1287
7 Au 0.0000 0.0000 0.4917
8 Au 0.0000 0.0000 0.6008

Summary:
* size of the total moment: 0.00 μB per cell
* total energy: -5.483 eV per atom

---

No. 5
Here is a geometry-optimized Ca2EuAg structure from Alexandria via LeMat-Bulk. Energies are from PBE.

Cell lengths 3.755, 3.755, 9.642 Å; angles 90.00, 90.00, 90.00 degrees
Space group P4/mmm (No. 123)
Asymmetric unit:
1 Ca 0.000 0.000 0.188
2 Eu 0.500 0.500 0.500
3 Ag 0.500 0.500 0.000

Summary:
* size of the total moment: 7.77 μB per cell
* total energy: -4.419 eV per atom
* polymorph energy (0 for the lowest one): 0 meV/atom

---

No. 6
Here is a geometry-optimized LiTlCuBr4 structure from Alexandria via LeMat-Bulk. Energies are from PBE.

Cell lengths 6.649, 7.605, 8.849 Å; angles 90.00, 103.58, 90.00 degrees
Space group P2_1/m (No. 11)
Asymmetric unit:
1 Li 0.199 0.250 0.335
2 Tl 0.264 0.250 0.922
3 Cu 0.300 0.750 0.677
4 Br 0.012 0.750 0.460
5 Br 0.118 0.750 0.895
6 Br 0.451 0.015 0.266

Summary:
* energy relative to the elements, uncorrected: -749 meV/atom
* size of the total moment: 2.09 μB per cell
* total energy: -2.902 eV per atom